A geometry-optimized PPtPbO2 structure, computed with PBE-GGA.

Lattice parameters (Å, degrees): 3.918 3.918 6.755 90.00 90.00 90.00
Element x y z (fractional)
P: 0.000 0.000 0.000
Pt: 0.500 0.500 0.000
Pb: 0.000 0.000 0.500
O: 0.000 0.500 0.500
O: 0.500 0.000 0.500

Space group: P4/mmm (123)
Energy above the most stable polymorph in this dataset: 590 meV/atom

***

A geometry-optimized TlZn2SeO6 structure, computed with PBE-GGA.

Lattice parameters (Å, degrees): 6.874 6.874 6.303 104.79 104.79 93.13
Element x y z (fractional)
Tl: 0.111 0.889 0.750
Tl: 0.889 0.111 0.250
Zn: 0.289 0.450 0.834
Zn: 0.450 0.289 0.334
Zn: 0.550 0.711 0.666
Zn: 0.711 0.550 0.166
Se: 0.213 0.787 0.250
Se: 0.787 0.213 0.750
O: 0.026 0.209 0.690
O: 0.092 0.655 0.916
O: 0.209 0.026 0.190
O: 0.313 0.456 0.534
O: 0.345 0.908 0.584
O: 0.456 0.313 0.034
O: 0.544 0.687 0.966
O: 0.655 0.092 0.416
O: 0.687 0.544 0.466
O: 0.791 0.974 0.810
O: 0.908 0.345 0.084
O: 0.974 0.791 0.310

Space group: C2/c (15)

***

A geometry-optimized ZrBe2Cl structure, computed with PBE-GGA.

Lattice parameters (Å, degrees): 2.956 4.204 4.959 90.00 90.00 90.00
Element x y z (fractional)
Zr: 0.000 0.000 0.000
Be: 0.000 0.500 0.500
Be: 0.500 0.000 0.500
Cl: 0.500 0.500 0.000

Space group: Pmmm (47)
Energy above the most stable polymorph in this dataset: 524 meV/atom

***

A geometry-optimized TlInCoCl6 structure, computed with PBE-GGA.

Lattice parameters (Å, degrees): 6.539 6.539 7.131 90.20 90.20 120.09
Element x y z (fractional)
Tl: 0.000 0.000 0.000
In: 0.667 0.333 0.500
Co: 0.333 0.667 0.500
Cl: 0.013 0.378 0.700
Cl: 0.014 0.632 0.300
Cl: 0.368 0.986 0.700
Cl: 0.375 0.386 0.296
Cl: 0.614 0.625 0.704
Cl: 0.622 0.987 0.300

Space group: C2 (5)

***

| no. | formation energy without anion corrections (meV/atom) | E (eV per formula unit) |
| --- | --- | --- |
| 1 | 567 | -22.24 |
| 2 | -756 | -45.71 |
| 3 | 253 | -16.84 |
| 4 | -907 | -31.45 |